Here is a relaxed structure of Al2Si from the Alexandria database. Energies are from PBE.

POSCAR file:
```
Al2Si
1.0
-3.154 3.154 2.468
3.154 -3.154 2.468
3.154 3.154 -2.468
Al Si
4 2
Cartesian
4.107 0.953 0.000
0.953 2.201 0.000
2.201 0.953 2.468
-0.953 2.201 2.468
0.000 0.000 1.234
0.000 0.000 3.702
```

Results
* VASP energy: -24.904 eV/cell
* DOS(E_F): 2.5 states/eV per cell
* energy relative to the elements, uncorrected: 0.15 eV per atom

Here is a relaxed structure of HoSc3Ir4 from the Alexandria database. Energies are from PBE.

POSCAR file:
```
HoSc3Ir4
1.0
4.511 0.000 0.000
0.000 4.511 0.000
0.000 0.000 6.911
Ho Sc Ir
1 3 4
Cartesian
0.000 0.000 0.000
0.000 0.000 3.456
2.255 2.255 0.000
2.255 2.255 3.456
0.000 2.255 1.796
0.000 2.255 5.116
2.255 0.000 1.796
2.255 0.000 5.116
```

Results
* VASP energy: -66.628 eV/cell
* E_form: -7.6 eV/f.u.
* DOS(E_F): 3.4 states/eV per cell

Here is a relaxed structure of Ac2NdYS6 from the Alexandria database. Energies are from PBE.

POSCAR file:
```
Ac2NdYS6
1.0
3.669 2.118 6.291
-3.669 2.118 6.291
0.000 -4.237 6.291
Ac Nd Y S
2 1 1 6
Cartesian
0.000 0.000 0.000
0.000 0.000 9.409
0.000 0.000 5.383
0.000 0.000 14.862
-1.300 -1.745 7.275
-2.790 -0.198 10.390
-0.861 1.999 7.275
1.566 -2.317 10.390
2.161 -0.254 7.275
1.224 2.515 10.390
```

Results
* VASP energy: -65.133 eV/cell
* DOS(E_F): 0.0 states/eV per cell
* energy relative to the elements, uncorrected: -2.09 eV per atom

Here is a relaxed structure of Cd4Te2AsI from the Alexandria database. Energies are from PBE.

POSCAR file:
```
Cd4Te2AsI
1.0
-3.291 3.291 6.582
3.291 -3.291 6.582
3.291 3.291 -6.582
Cd Te As I
4 2 1 1
Cartesian
1.872 1.872 -1.653
1.420 -1.420 8.235
1.420 1.420 4.930
-1.420 1.420 8.235
3.291 0.000 3.291
0.000 3.291 3.291
0.000 0.000 6.582
0.000 0.000 0.000
```

Results
* VASP energy: -19.168 eV/cell
* energy relative to the elements, uncorrected: -0.38 eV per atom